Material: Mg6MnBO8
Method: DFT, PBE+U
State: relaxed

Geometry as POSCAR:
```
Mg6MnBO8
1.0
4.270 0.000 0.000
0.000 4.270 0.000
0.000 0.000 8.467
Mg Mn B O
6 1 1 8
Direct
0.000 0.000 0.000
0.000 0.000 0.500
0.000 0.500 0.242
0.000 0.500 0.758
0.500 0.000 0.242
0.500 0.000 0.758
0.500 0.500 0.500
0.500 0.500 0.000
0.000 0.000 0.250
0.000 0.000 0.750
0.000 0.500 0.000
0.000 0.500 0.500
0.500 0.000 0.000
0.500 0.000 0.500
0.500 0.500 0.232
0.500 0.500 0.768
```

Computed properties:
The volume comes out at 154.4 Å³/cell. As for the density of states at the Fermi level: 1.47 states/eV/f.u. The value obtained for the uncorrected energy is -6.081 eV per atom. Its symmetry is P4/mmm.